No. 1
# FeTc3Se | Alexandria | PBE | relaxed
# * DFT total energy: -35.23 eV per cell
# * energy above the most stable polymorph in this dataset: 216 meV per atom
# * magnetization: 0.6 μB/f.u.
# * formation energy without anion corrections: 1.563 eV per atom
# * density of states at the Fermi level: 10.90 states/eV/f.u.
data_FeTc3Se
_chemical_formula_sum 'Fe1 Tc3 Se1'
_symmetry_space_group_name_H-M 'P 1'
_symmetry_Int_Tables_number 1
_cell_length_a 4.479
_cell_length_b 4.479
_cell_length_c 4.479
_cell_angle_alpha 90.00
_cell_angle_beta 90.00
_cell_angle_gamma 90.00
loop_
_symmetry_equiv_pos_as_xyz
'x,y,z'
loop_
_atom_site_label
_atom_site_type_symbol
_atom_site_fract_x
_atom_site_fract_y
_atom_site_fract_z
Tc1 Tc 0.000 0.500 0.000
Tc2 Tc 0.000 0.000 0.500
Tc3 Tc 0.500 0.000 0.000
Se1 Se 0.000 0.000 0.000
Fe1 Fe 0.500 0.500 0.500


No. 2
# Sm6Os2CBr3 | Alexandria | PBE | relaxed
# * DFT total energy: -73.58 eV per cell
# * magnetization: 0.0 μB/f.u.
# * formation energy without anion corrections: -0.714 eV per atom
# * density of states at the Fermi level: 8.53 states/eV/f.u.
data_Sm6Os2CBr3
_chemical_formula_sum 'Sm6 Os2 C1 Br3'
_symmetry_space_group_name_H-M 'P 1'
_symmetry_Int_Tables_number 1
_cell_length_a 6.971
_cell_length_b 6.971
_cell_length_c 7.929
_cell_angle_alpha 98.41
_cell_angle_beta 98.41
_cell_angle_gamma 119.98
loop_
_symmetry_equiv_pos_as_xyz
'x,y,z'
loop_
_atom_site_label
_atom_site_type_symbol
_atom_site_fract_x
_atom_site_fract_y
_atom_site_fract_z
Sm1 Sm 0.939 0.626 0.813
Sm2 Sm 0.748 0.748 0.187
Sm3 Sm 0.061 0.374 0.187
Sm4 Sm 0.626 0.939 0.813
Sm5 Sm 0.252 0.252 0.813
Sm6 Sm 0.374 0.061 0.187
Os1 Os 0.333 0.667 0.000
Os2 Os 0.667 0.333 0.000
C1 C 0.000 0.000 0.000
Br1 Br 0.163 0.837 0.500
Br2 Br 0.837 0.163 0.500
Br3 Br 0.500 0.500 0.500


No. 3
# CaZrCl6 | Alexandria | PBE | relaxed
# * DFT total energy: -37.54 eV per cell
# * energy above the most stable polymorph in this dataset: 8 meV per atom
# * magnetization: 0.0 μB/f.u.
# * formation energy without anion corrections: -1.989 eV per atom
# * density of states at the Fermi level: 0.00 states/eV/f.u.
data_CaZrCl6
_chemical_formula_sum 'Ca1 Zr1 Cl6'
_symmetry_space_group_name_H-M 'P 1'
_symmetry_Int_Tables_number 1
_cell_length_a 6.657
_cell_length_b 6.657
_cell_length_c 7.147
_cell_angle_alpha 62.25
_cell_angle_beta 62.25
_cell_angle_gamma 60.01
loop_
_symmetry_equiv_pos_as_xyz
'x,y,z'
loop_
_atom_site_label
_atom_site_type_symbol
_atom_site_fract_x
_atom_site_fract_y
_atom_site_fract_z
Ca1 Ca 0.500 0.500 0.500
Zr1 Zr 0.000 0.000 0.000
Cl1 Cl 0.086 0.383 0.763
Cl2 Cl 0.769 0.086 0.762
Cl3 Cl 0.617 0.231 0.238
Cl4 Cl 0.231 0.914 0.238
Cl5 Cl 0.914 0.617 0.237
Cl6 Cl 0.383 0.769 0.762


No. 4
# InFe2 | Alexandria | PBE | relaxed
# * DFT total energy: -66.50 eV per cell
# * magnetization: 4.9 μB/f.u.
# * energy of formation from the pure elements: 1.01 eV/atom
# * density of states at the Fermi level: 1.46 states/eV/f.u.
data_InFe2
_chemical_formula_sum 'In4 Fe8'
_symmetry_space_group_name_H-M 'P 1'
_symmetry_Int_Tables_number 1
_cell_length_a 6.104
_cell_length_b 6.104
_cell_length_c 6.104
_cell_angle_alpha 90.00
_cell_angle_beta 90.00
_cell_angle_gamma 90.00
loop_
_symmetry_equiv_pos_as_xyz
'x,y,z'
loop_
_atom_site_label
_atom_site_type_symbol
_atom_site_fract_x
_atom_site_fract_y
_atom_site_fract_z
Fe1 Fe 0.604 0.604 0.396
Fe2 Fe 0.396 0.396 0.604
Fe3 Fe 0.104 0.896 0.604
Fe4 Fe 0.896 0.104 0.396
Fe5 Fe 0.396 0.104 0.104
Fe6 Fe 0.604 0.896 0.896
Fe7 Fe 0.896 0.396 0.896
Fe8 Fe 0.104 0.604 0.104
In1 In 0.000 0.000 0.000
In2 In 0.500 0.500 0.000
In3 In 0.500 0.000 0.500
In4 In 0.000 0.500 0.500


No. 5
# Sr2ErGeS5 | Alexandria | PBE | relaxed
# * DFT total energy: -95.20 eV per cell
# * magnetization: 0.0 μB/f.u.
# * formation energy without anion corrections: -1.602 eV per atom
# * density of states at the Fermi level: 1.41 states/eV/f.u.
data_Sr2ErGeS5
_chemical_formula_sum 'Sr4 Er2 Ge2 S10'
_symmetry_space_group_name_H-M 'P 1'
_symmetry_Int_Tables_number 1
_cell_length_a 4.186
_cell_length_b 9.004
_cell_length_c 12.109
_cell_angle_alpha 90.00
_cell_angle_beta 90.00
_cell_angle_gamma 103.44
loop_
_symmetry_equiv_pos_as_xyz
'x,y,z'
loop_
_atom_site_label
_atom_site_type_symbol
_atom_site_fract_x
_atom_site_fract_y
_atom_site_fract_z
Sr1 Sr 0.875 0.750 0.824
Sr2 Sr 0.117 0.234 0.683
Sr3 Sr 0.125 0.250 0.324
Sr4 Sr 0.883 0.766 0.183
Er1 Er 0.792 0.584 0.526
Er2 Er 0.208 0.416 0.026
Ge1 Ge 0.554 0.109 0.942
Ge2 Ge 0.446 0.891 0.442
S1 S 0.356 0.712 0.006
S2 S 0.683 0.365 0.873
S3 S 0.499 0.998 0.772
S4 S 0.294 0.589 0.670
S5 S 0.955 0.910 0.528
S6 S 0.644 0.288 0.506
S7 S 0.317 0.635 0.373
S8 S 0.501 0.002 0.272
S9 S 0.706 0.411 0.170
S10 S 0.045 0.090 0.028


No. 6
# Tm6SnIr5 | Alexandria | PBE | relaxed
# * DFT total energy: -85.07 eV per cell
# * magnetization: 0.0 μB/f.u.
# * energy of formation from the pure elements: -0.83 eV/atom
# * density of states at the Fermi level: 4.00 states/eV/f.u.
data_Tm6SnIr5
_chemical_formula_sum 'Tm6 Sn1 Ir5'
_symmetry_space_group_name_H-M 'P 1'
_symmetry_Int_Tables_number 1
_cell_length_a 4.764
_cell_length_b 7.118
_cell_length_c 7.571
_cell_angle_alpha 90.00
_cell_angle_beta 108.63
_cell_angle_gamma 90.00
loop_
_symmetry_equiv_pos_as_xyz
'x,y,z'
loop_
_atom_site_label
_atom_site_type_symbol
_atom_site_fract_x
_atom_site_fract_y
_atom_site_fract_z
Tm1 Tm 0.828 0.745 0.655
Tm2 Tm 0.828 0.255 0.655
Tm3 Tm 0.500 0.267 0.000
Tm4 Tm 0.500 0.733 0.000
Tm5 Tm 0.172 0.745 0.345
Tm6 Tm 0.172 0.255 0.345
Sn1 Sn 0.000 0.000 0.000
Ir1 Ir 0.666 0.500 0.333
Ir2 Ir 0.337 0.000 0.674
Ir3 Ir 0.000 0.500 0.000
Ir4 Ir 0.663 0.000 0.326
Ir5 Ir 0.334 0.500 0.667